Material: Pr2Al3Au
Method: DFT, GGA-PBE
State: relaxed

a b c (Å): 9.191 8.871 6.027
angles (deg): 73.40 67.67 38.93
Element x y z (fractional)
Pr 0.243 0.757 0.757
Pr 0.250 0.250 0.250
Pr 0.750 0.750 0.750
Pr 0.757 0.243 0.243
Al 0.167 0.666 0.334
Al 0.334 0.833 0.167
Al 0.335 0.335 0.665
Al 0.665 0.665 0.335
Al 0.666 0.167 0.833
Al 0.833 0.334 0.666
Au 0.169 0.169 0.831
Au 0.831 0.831 0.169

## Properties
E ... -4.5887 eV per atom
Energy above the most stable polymorph in this dataset ... 0.023 eV per atom
Theoretical density ... 6.51 Mg/m³